CuNiSnPd | PBE | optimized geometry

Lattice parameters (Å, degrees): 3.9993 3.9992 4.6367 115.55 115.55 90.00
Closest atoms and distances in Å follow each position.
Fractional coordinates of all 4 atoms:
Ni  0.2500  0.7500  0.5000  4 Cu 2.72, 4 Sn 2.72, 4 Pd 2.83
Sn  0.5000  0.5000  0.0000  4 Pd 2.72, 4 Ni 2.72, 4 Cu 2.83
Cu  0.0000  0.0000  0.0000  4 Ni 2.72, 4 Pd 2.72, 4 Sn 2.83
Pd  0.7500  0.2500  0.5000  4 Sn 2.72, 4 Cu 2.72, 4 Ni 2.83

Calculated values
DFT formation energy ... -0.2460 eV/atom
Space group ... I-4m2
Polymorph energy (0 for the lowest one) ... 0.0000 eV per atom

---

FeReSb4 | PBE | optimized geometry

Lattice parameters (Å, degrees): 5.9951 5.9951 5.9951 60.00 60.00 60.00
Closest atoms and distances in Å follow each position.
Fractional coordinates of all 6 atoms:
Sb  0.3752  0.3752  0.3752  6 Sb 2.99-3.00
Sb  0.8743  0.3752  0.3752  6 Sb 2.99-3.00
Sb  0.3752  0.3752  0.8743  6 Sb 2.99-3.00
Sb  0.3752  0.8743  0.3752  6 Sb 2.99-3.00
Re  0.0000  0.0000  0.0000  12 Sb 3.52, 4 Fe 3.67
Fe  0.7500  0.7500  0.7500  12 Sb 3.51, 4 Re 3.67

Calculated values
Uncorrected formation energy ... 1.49 eV per atom
Space group ... F-43m

---

ZrReTe2 | PBE | optimized geometry

Lattice parameters (Å, degrees): 3.5861 5.4606 4.4177 90.00 90.00 90.00
Closest atoms and distances in Å follow each position.
Fractional coordinates of all 4 atoms:
Zr  0.5000  0.0000  0.5000  4 Te 2.85
Te  0.5000  0.5000  0.0000  4 Re 2.85
Te  0.0000  0.0000  0.0000  4 Zr 2.85
Re  0.0000  0.5000  0.5000  4 Te 2.85

Calculated values
Uncorrected formation energy ... 0.51 eV per atom
Space group ... Pmmm
Polymorph energy (0 for the lowest one) ... 0.7306 eV per atom

---

Bi3TeO7 | PBE | optimized geometry

Lattice parameters (Å, degrees): 6.8158 6.8158 7.8298 90.00 90.00 108.26
Closest atoms and distances in Å follow each position.
Fractional coordinates of all 22 atoms:
O  0.0421  0.3037  0.9601  1 Te 2.00
O  0.9099  0.6735  0.0351  1 Te 2.15, 1 Bi 2.30
O  0.3584  0.6416  0.7500  4 Bi 2.30-2.53
O  0.0901  0.3265  0.5351  1 Te 2.15, 1 Bi 2.30
O  0.9579  0.6963  0.4601  1 Te 2.00
O  0.6963  0.9579  0.5399  1 Te 2.00
O  0.3265  0.0901  0.4649  1 Te 2.15, 1 Bi 2.30
O  0.3704  0.6296  0.2500  4 Bi 2.43-2.45
O  0.6735  0.9099  0.9649  1 Te 2.15, 1 Bi 2.30
O  0.3037  0.0421  0.0399  1 Te 2.00
O  0.9459  0.0541  0.2500  2 Te 2.05
O  0.6416  0.3584  0.2500  4 Bi 2.30-2.53
O  0.0541  0.9459  0.7500  2 Te 2.05
O  0.6296  0.3704  0.7500  4 Bi 2.43-2.45
Bi  0.9971  0.4787  0.2436  4 O 2.30-2.43
Bi  0.5213  0.0029  0.2564  4 O 2.30-2.43
Bi  0.0029  0.5213  0.7436  4 O 2.30-2.43
Bi  0.5397  0.5397  0.0000  6 O 2.41-2.53
Bi  0.4787  0.9971  0.7564  4 O 2.30-2.43
Bi  0.4603  0.4603  0.5000  6 O 2.41-2.53
Te  0.9966  0.9966  0.5000  6 O 2.00-2.15
Te  0.0034  0.0034  0.0000  6 O 2.00-2.15

Calculated values
Uncorrected formation energy ... -1.13 eV per atom
Space group ... C222_1

---

Ce4IrAu2 | PBE | optimized geometry

Lattice parameters (Å, degrees): 3.9458 7.1990 7.6690 107.98 90.00 90.00
Closest atoms and distances in Å follow each position.
Fractional coordinates of all 7 atoms:
Ir  0.0000  0.0714  0.0715  6 Ce 2.78-2.87
Au  0.5000  0.3733  0.5760  1 Au 2.87, 6 Ce 2.98-3.16
Au  0.5000  0.7695  0.5669  1 Au 2.87, 6 Ce 2.98-3.16
Ce  0.5000  0.1621  0.8553  2 Ir 2.78, 2 Au 2.98-3.00
Ce  0.0000  0.4714  0.2998  1 Ir 2.87, 4 Au 3.13-3.16
Ce  0.0000  0.6714  0.8432  1 Ir 2.87, 4 Au 3.13-3.16
Ce  0.5000  0.9807  0.2876  2 Ir 2.78, 2 Au 2.98-3.00

Calculated values
DFT formation energy ... -0.4365 eV/atom
Space group ... P2/m
Polymorph energy (0 for the lowest one) ... 0.0450 eV per atom

---

Cs2RbIrO6 | PBE | optimized geometry

Lattice parameters (Å, degrees): 6.5958 6.5958 6.5958 60.00 60.00 60.00
Closest atoms and distances in Å follow each position.
Fractional coordinates of all 10 atoms:
O  0.7996  0.2004  0.7996  1 Ir 1.87
O  0.2004  0.7996  0.2004  1 Ir 1.87
O  0.2004  0.2004  0.7996  1 Ir 1.87
O  0.7996  0.7996  0.2004  1 Ir 1.87
O  0.7996  0.2004  0.2004  1 Ir 1.87
O  0.2004  0.7996  0.7996  1 Ir 1.87
Cs  0.2500  0.2500  0.2500  12 O 3.33
Cs  0.7500  0.7500  0.7500  12 O 3.33
Ir  0.0000  0.0000  0.0000  6 O 1.87
Rb  0.5000  0.5000  0.5000  6 O 2.79

Calculated values
Uncorrected formation energy ... -1.01 eV per atom
Space group ... Fm-3m

---

SrYTc2 | PBE | optimized geometry

Lattice parameters (Å, degrees): 5.5386 5.5386 6.4500 66.01 66.01 40.85
Closest atoms and distances in Å follow each position.
Fractional coordinates of all 4 atoms:
Tc  0.9949  0.9949  0.8590  2 Tc 2.37
Tc  0.5051  0.5051  0.6410  2 Tc 2.37
Sr  0.2500  0.2500  0.2500  6 Tc 3.32-3.66
Y  0.7500  0.7500  0.7500  6 Tc 2.92-3.10

Calculated values
DFT formation energy ... 0.4417 eV/atom
Space group ... C2/m
Polymorph energy (0 for the lowest one) ... 0.1822 eV per atom

---

YZr2Zn | PBE | optimized geometry

Lattice parameters (Å, degrees): 4.2055 4.2055 11.1229 79.10 79.10 90.00
Closest atoms and distances in Å follow each position.
Fractional coordinates of all 8 atoms:
Zn  0.2500  0.7500  0.5000  4 Y 2.97, 4 Zr 3.04
Zn  0.5000  0.5000  0.0000  4 Y 2.97, 4 Zr 3.04
Zr  0.8750  0.8610  0.7500  4 Zr 2.89-3.06, 2 Zn 3.04, 2 Y 3.09
Zr  0.6110  0.1250  0.2500  4 Zr 2.89-3.06, 2 Zn 3.04, 2 Y 3.09
Zr  0.3750  0.3890  0.7500  4 Zr 2.89-3.06, 2 Zn 3.04, 2 Y 3.09
Zr  0.1390  0.6250  0.2500  4 Zr 2.89-3.06, 2 Zn 3.04, 2 Y 3.09
Y  0.7500  0.2500  0.5000  4 Zn 2.97, 4 Zr 3.09
Y  0.0000  0.0000  0.0000  4 Zn 2.97, 4 Zr 3.09

Calculated values
DFT formation energy ... 0.2577 eV/atom
Space group ... I-42d

---

Sr2HfPtPb | PBE | optimized geometry

Lattice parameters (Å, degrees): 6.1902 4.8500 6.1902 90.00 90.00 90.00
Closest atoms and distances in Å follow each position.
Fractional coordinates of all 5 atoms:
Sr  0.0000  0.0000  0.5000  2 Hf 3.10
Sr  0.5000  0.0000  0.0000  2 Hf 3.10
Pb  0.5000  0.5000  0.5000  8 Sr 3.93, 4 Pt 4.38
Pt  0.0000  0.5000  0.0000  2 Hf 2.42
Hf  0.0000  0.0000  0.0000  2 Pt 2.42

Calculated values
DFT formation energy ... 0.4039 eV/atom
Space group ... P4/mmm

---

YBe2 | PBE | optimized geometry

Lattice parameters (Å, degrees): 3.1710 3.1710 4.9415 90.00 90.00 90.00
Closest atoms and distances in Å follow each position.
Fractional coordinates of all 3 atoms:
Y  0.0000  0.0000  0.0000  8 Be 2.94, 4 Y 3.17
Be  0.5000  0.0000  0.5000  4 Be 2.24
Be  0.0000  0.5000  0.5000  4 Be 2.24

Calculated values
DFT formation energy ... 0.4605 eV/atom
Space group ... P4/mmm

---

VCrPbAuBr | PBE | optimized geometry

Lattice parameters (Å, degrees): 3.1460 3.1470 11.9514 85.64 86.35 61.45
Closest atoms and distances in Å follow each position.
Fractional coordinates of all 5 atoms:
Cr  0.1501  0.1229  0.0640  2 V 2.32
Au  0.8014  0.7580  0.2343  3 Cr 2.69-2.75
V  0.6792  0.6643  0.9238  2 Cr 2.32, 1 Br 2.50
Pb  0.0952  0.0321  0.4519  3 Au 3.13-3.20, 6 Pb 3.15-3.22
Br  0.3810  0.3800  0.7716  3 V 2.50-2.61

Calculated values
Uncorrected formation energy ... 0.12 eV per atom
Space group ... P1
Polymorph energy (0 for the lowest one) ... 0.0872 eV per atom

---

SrNb3F | PBE | optimized geometry

Lattice parameters (Å, degrees): 4.9599 4.9599 4.9599 90.00 90.00 90.00
Closest atoms and distances in Å follow each position.
Fractional coordinates of all 5 atoms:
F  0.5000  0.5000  0.5000  12 Nb 3.51
Nb  0.5000  0.0000  0.0000  2 Sr 2.48
Nb  0.0000  0.0000  0.5000  2 Sr 2.48
Nb  0.0000  0.5000  0.0000  2 Sr 2.48
Sr  0.0000  0.0000  0.0000  6 Nb 2.48

Calculated values
Uncorrected formation energy ... 2.62 eV per atom
Space group ... Pm-3m
Polymorph energy (0 for the lowest one) ... 2.1926 eV per atom

---

YPtSe | PBE | optimized geometry

Lattice parameters (Å, degrees): 4.7221 4.7221 4.7221 60.00 60.00 60.00
Closest atoms and distances in Å follow each position.
Fractional coordinates of all 3 atoms:
Pt  0.0000  0.0000  0.0000  4 Y 2.89
Se  0.5000  0.5000  0.5000  4 Y 2.89
Y  0.7500  0.7500  0.7500  4 Pt 2.89, 4 Se 2.89

Calculated values
Uncorrected formation energy ... -0.87 eV per atom
Space group ... F-43m
Polymorph energy (0 for the lowest one) ... 0.3776 eV per atom

---

Li2YW | PBE | optimized geometry

Lattice parameters (Å, degrees): 2.8558 2.8558 9.2450 90.00 90.00 90.00
Closest atoms and distances in Å follow each position.
Fractional coordinates of all 4 atoms:
W  0.5000  0.5000  0.2500  8 Li 2.85, 4 W 2.86
Y  0.5000  0.5000  0.7500  4 Y 2.86
Li  0.0000  0.0000  0.0323  4 W 2.85, 4 Li 2.86
Li  0.0000  0.0000  0.4677  4 W 2.85, 4 Li 2.86

Calculated values
DFT formation energy ... 0.6773 eV/atom
Space group ... P4/mmm
Polymorph energy (0 for the lowest one) ... 0.2236 eV per atom

---

VNiHRu2 | PBE | optimized geometry

Lattice parameters (Å, degrees): 3.8924 3.8924 3.5697 90.00 90.00 90.00
Closest atoms and distances in Å follow each position.
Fractional coordinates of all 5 atoms:
Ru  0.5000  0.0000  0.0000  2 H 1.95
Ru  0.0000  0.5000  0.0000  2 H 1.95
Ni  0.0000  0.0000  0.5000  2 H 1.78
H  0.0000  0.0000  0.0000  2 Ni 1.78, 4 Ru 1.95
V  0.5000  0.5000  0.5000  8 Ru 2.64, 4 Ni 2.75

Calculated values
Space group ... P4/mmm
Polymorph energy (0 for the lowest one) ... 0.0000 eV per atom

---

TlF3 | PBE | optimized geometry

Lattice parameters (Å, degrees): 6.5883 6.5883 6.5883 34.44 34.44 34.44
Closest atoms and distances in Å follow each position.
Fractional coordinates of all 4 atoms:
F  0.0000  0.0000  0.0000  2 F 2.36
F  0.1272  0.1272  0.1272  1 F 2.36, 3 Tl 2.37
F  0.8728  0.8728  0.8728  1 F 2.36, 3 Tl 2.37
Tl  0.5000  0.5000  0.5000  6 F 2.37

Calculated values
Uncorrected formation energy ... -1.13 eV per atom
Space group ... R-3m

---

LiZnCuO2 | PBE | optimized geometry

Lattice parameters (Å, degrees): 5.2777 5.4820 5.7099 74.10 90.00 90.00
Closest atoms and distances in Å follow each position.
Fractional coordinates of all 10 atoms:
O  0.6998  0.8174  0.0518  1 Li 1.82, 1 Cu 1.85, 2 Zn 2.01-2.03
O  0.6998  0.1826  0.4482  1 Li 1.82, 1 Cu 1.85, 2 Zn 2.01-2.03
O  0.3002  0.8174  0.5518  1 Li 1.82, 1 Cu 1.85, 2 Zn 2.01-2.03
O  0.3002  0.1826  0.9482  1 Li 1.82, 1 Cu 1.85, 2 Zn 2.01-2.03
Zn  0.4899  0.0000  0.2500  4 O 2.01-2.03
Zn  0.5101  0.0000  0.7500  4 O 2.01-2.03
Li  0.7558  0.5000  0.2500  2 O 1.82
Li  0.2442  0.5000  0.7500  2 O 1.82
Cu  0.0000  0.0000  0.0000  2 O 1.85
Cu  0.0000  0.0000  0.5000  2 O 1.85

Calculated values
Uncorrected formation energy ... -1.14 eV per atom
Space group ... P2/c

---

ZrPH2Pb | PBE | optimized geometry

Lattice parameters (Å, degrees): 3.7768 6.3805 3.7768 90.00 90.00 90.00
Closest atoms and distances in Å follow each position.
Fractional coordinates of all 5 atoms:
H  0.0000  0.0000  0.5000  2 Pb 1.89
H  0.5000  0.0000  0.0000  2 Pb 1.89
Zr  0.0000  0.5000  0.0000  4 P 2.67
P  0.5000  0.5000  0.5000  4 Zr 2.67
Pb  0.0000  0.0000  0.0000  4 H 1.89

Calculated values
Total energy ... -4.743 eV/atom
Space group ... P4/mmm

---

ZrGa2Co | PBE | optimized geometry

Lattice parameters (Å, degrees): 8.1601 9.6316 9.6314 79.66 64.94 64.94
Closest atoms and distances in Å follow each position.
Fractional coordinates of all 40 atoms:
Zr  0.1622  0.0000  0.4023  4 Co 2.70-2.89, 6 Ga 2.85-2.91
Zr  0.4829  0.0000  0.0000  4 Co 2.68, 4 Ga 2.94-2.95
Zr  0.5644  0.5977  0.0000  4 Co 2.70-2.89, 6 Ga 2.85-2.91
Zr  0.1558  0.7189  0.7189  3 Co 2.75-3.05, 9 Ga 2.81-3.06
Zr  0.1622  0.4023  0.0000  4 Co 2.70-2.89, 6 Ga 2.85-2.91
Zr  0.9458  0.0000  0.0000  4 Co 2.89, 8 Ga 2.90-3.02
Zr  0.8747  0.2811  0.7189  3 Co 2.75-3.05, 9 Ga 2.81-3.06
Zr  0.8747  0.7189  0.2811  3 Co 2.75-3.05, 9 Ga 2.81-3.06
Zr  0.5644  0.0000  0.5977  4 Co 2.70-2.89, 6 Ga 2.85-2.91
Zr  0.5936  0.2811  0.2811  3 Co 2.75-3.05, 9 Ga 2.81-3.06
Ga  0.3642  0.8370  0.8370  3 Co 2.49-2.63
Ga  0.8396  0.7358  0.0000  3 Co 2.50-2.60
Ga  0.2012  0.1630  0.8371  3 Co 2.49-2.63
Ga  0.9645  0.5075  0.7880  3 Co 2.51-2.56, 2 Ga 2.69-2.77
Ga  0.4721  0.7879  0.4925  3 Co 2.51-2.56, 2 Ga 2.69-2.77
Ga  0.3520  0.3839  0.6161  3 Co 2.45-2.50, 2 Ga 2.69
Ga  0.7359  0.6161  0.6161  3 Co 2.45-2.50, 2 Ga 2.69
Ga  0.5755  0.2642  0.0000  3 Co 2.50-2.60
Ga  0.4721  0.4925  0.7879  3 Co 2.51-2.56, 2 Ga 2.69-2.77
Ga  0.8396  0.0000  0.7358  3 Co 2.50-2.60
Ga  0.0382  0.1630  0.1630  3 Co 2.49-2.63
Ga  0.2600  0.4925  0.2121  3 Co 2.51-2.56, 2 Ga 2.69-2.77
Ga  0.2012  0.8371  0.1630  3 Co 2.49-2.63
Ga  0.3520  0.6161  0.3839  3 Co 2.45-2.50, 2 Ga 2.69
Ga  0.2600  0.2121  0.4925  3 Co 2.51-2.56, 2 Ga 2.69-2.77
Ga  0.7525  0.5075  0.2121  3 Co 2.51-2.56, 2 Ga 2.69-2.77
Ga  0.9645  0.7880  0.5075  3 Co 2.51-2.56, 2 Ga 2.69-2.77
Ga  0.9681  0.3839  0.3839  3 Co 2.45-2.50, 2 Ga 2.69
Ga  0.7525  0.2121  0.5075  3 Co 2.51-2.56, 2 Ga 2.69-2.77
Ga  0.5755  0.0000  0.2642  3 Co 2.50-2.60
Co  0.8568  0.3246  0.0000  5 Ga 2.49-2.60, 3 Zr 2.70-2.75
Co  0.1814  0.0000  0.6754  5 Ga 2.49-2.60, 3 Zr 2.70-2.75
Co  0.2968  0.2166  0.2166  6 Ga 2.45-2.63, 1 Zr 2.68
Co  0.1037  0.5001  0.5001  8 Ga 2.48-2.51
Co  0.6037  0.5000  0.5000  8 Ga 2.48-2.51
Co  0.1814  0.6754  0.0000  5 Ga 2.49-2.60, 3 Zr 2.70-2.75
Co  0.5134  0.2167  0.7833  6 Ga 2.45-2.63, 1 Zr 2.68
Co  0.7301  0.7833  0.7833  6 Ga 2.45-2.63, 1 Zr 2.68
Co  0.5134  0.7833  0.2167  6 Ga 2.45-2.63, 1 Zr 2.68
Co  0.8568  0.0000  0.3246  5 Ga 2.49-2.60, 3 Zr 2.70-2.75

Calculated values
DFT formation energy ... -0.5393 eV/atom
Space group ... I4mm

---

Na5B7C3 | PBE | optimized geometry

Lattice parameters (Å, degrees): 9.0703 9.0703 13.3812 112.90 112.90 17.94
Closest atoms and distances in Å follow each position.
Fractional coordinates of all 30 atoms:
Na  0.9982  0.9982  0.4994  8 B 2.63-2.82, 4 C 2.71-2.78, 4 Na 2.83-2.92
Na  0.3990  0.3990  0.2998  8 B 2.68-2.84, 4 C 2.70-2.73, 6 Na 2.83-2.92
Na  0.6007  0.6007  0.1986  7 B 2.66-2.76, 5 C 2.68-2.72, 6 Na 2.83-2.92
Na  0.8004  0.8004  0.1015  7 B 2.63-2.80, 5 C 2.68-2.75, 6 Na 2.83-2.93
Na  0.1992  0.1992  0.9018  10 B 2.66-2.81, 2 C 2.80-2.87, 6 Na 2.83-2.94
Na  0.4003  0.4003  0.8025  8 B 2.64-2.81, 4 C 2.67-2.81, 6 Na 2.83-2.95
Na  0.0013  0.0013  0.0004  8 B 2.64-2.78, 4 C 2.68-2.77, 6 Na 2.83-2.92
Na  0.8005  0.8005  0.6005  10 B 2.66-2.94, 2 C 2.72, 6 Na 2.83-2.96
Na  0.5994  0.5994  0.7007  9 B 2.65-2.96, 3 C 2.69-2.70, 6 Na 2.83-2.95
Na  0.2020  0.2020  0.3970  9 B 2.68-2.83, 3 C 2.70-2.78, 6 Na 2.83-2.96
B  0.3737  0.3737  0.4967  1 C 1.59, 2 B 1.76
B  0.8336  0.8336  0.4153  3 B 1.76
B  0.9661  0.9661  0.6836  3 C 1.62-1.64
B  0.0303  0.0303  0.3091  3 C 1.60-1.64
B  0.4364  0.4364  0.1223  3 C 1.62-1.63
B  0.7649  0.7649  0.2781  2 C 1.63, 1 B 1.76
B  0.7732  0.7732  0.7979  3 B 1.75-1.80
B  0.8417  0.8417  0.9337  2 C 1.62, 1 B 1.75
B  0.6304  0.6304  0.0112  3 B 1.74-1.79
B  0.6220  0.6220  0.4934  1 C 1.54
B  0.5603  0.5603  0.8724  2 C 1.62, 1 B 1.79
B  0.1652  0.1652  0.5814  3 B 1.66-1.81
B  0.2298  0.2298  0.7110  3 B 1.66-1.80
B  0.1702  0.1702  0.0902  1 C 1.61, 2 B 1.74
C  0.0293  0.0293  0.8113  3 B 1.62-1.64
C  0.3732  0.3732  0.9958  3 B 1.62
C  0.5626  0.5626  0.3732  3 B 1.54-1.64
C  0.9675  0.9675  0.1848  3 B 1.60-1.63
C  0.2333  0.2333  0.2152  3 B 1.61-1.63
C  0.4354  0.4354  0.6211  3 B 1.59-1.63

Calculated values
DFT formation energy ... 0.1215 eV/atom
Space group ... Cm
Polymorph energy (0 for the lowest one) ... 0.0087 eV per atom